La2Pm6NdY | PBE-GGA | optimized geometry

abc: 10.0843 8.9467 8.9467
angles: 118.20 95.03 95.03
With the nearest neighbours (Å) after each atom.
Positions (direct):
La1 0.4593 0.8059 0.7080  5 Pm 3.33-3.63, 2 Nd 3.41-3.46, 1 Y 3.63
La2 0.0407 0.2920 0.1941  5 Pm 3.33-3.63, 2 Nd 3.41-3.46, 1 Y 3.63
La3 0.5407 0.1941 0.2920  5 Pm 3.33-3.63, 2 Nd 3.41-3.46, 1 Y 3.63
La4 0.9593 0.7080 0.8059  5 Pm 3.33-3.63, 2 Nd 3.41-3.46, 1 Y 3.63
Pm1 0.0554 0.1200 0.7396  7 Pm 3.48-3.86, 1 La 3.63, 1 Nd 3.69, 1 Y 3.84
Pm2 0.4446 0.2604 0.8800  7 Pm 3.48-3.86, 1 La 3.63, 1 Nd 3.69, 1 Y 3.84
Pm3 0.9446 0.8800 0.2604  7 Pm 3.48-3.86, 1 La 3.63, 1 Nd 3.69, 1 Y 3.84
Pm4 0.5554 0.7396 0.1200  7 Pm 3.48-3.86, 1 La 3.63, 1 Nd 3.69, 1 Y 3.84
Pm5 0.3126 0.9801 0.4220  4 Pm 3.35-3.73, 1 La 3.48, 1 Y 3.51, 1 Nd 3.69
Pm6 0.1874 0.5780 0.0199  4 Pm 3.35-3.73, 1 La 3.48, 1 Y 3.51, 1 Nd 3.69
Pm7 0.6874 0.0199 0.5780  4 Pm 3.35-3.73, 1 La 3.48, 1 Y 3.51, 1 Nd 3.69
Pm8 0.8126 0.4220 0.9801  4 Pm 3.35-3.73, 1 La 3.48, 1 Y 3.51, 1 Nd 3.69
Pm9 0.1205 0.7032 0.4952  3 La 3.33-3.58, 4 Pm 3.35-3.61, 2 Y 3.50-3.69
Pm10 0.3795 0.5048 0.2968  3 La 3.33-3.58, 4 Pm 3.35-3.61, 2 Y 3.50-3.69
Pm11 0.8795 0.2968 0.5048  3 La 3.33-3.58, 4 Pm 3.35-3.61, 2 Y 3.50-3.69
Pm12 0.6205 0.4952 0.7032  3 La 3.33-3.58, 4 Pm 3.35-3.61, 2 Y 3.50-3.69
Nd1 0.2500 0.9868 0.0132  4 La 3.41-3.46, 4 Pm 3.69
Nd2 0.7500 0.0132 0.9868  4 La 3.41-3.46, 4 Pm 3.69
Y1 0.2500 0.4052 0.5948  8 Pm 3.50-3.84, 2 La 3.63
Y2 0.7500 0.5948 0.4052  8 Pm 3.50-3.84, 2 La 3.63

- DOS at the Fermi energy (states/eV/f.u.) = 15.1
- volume (A^3/atom) = 35.0

=====

La2PmNdY6 | PBE-GGA | optimized geometry

abc: 10.1125 8.7871 8.7871
angles: 117.23 96.06 96.06
With the nearest neighbours (Å) after each atom.
Positions (direct):
La1 0.4558 0.8113 0.7216  2 Pm 3.33-3.38, 5 Y 3.34-3.60, 1 Nd 3.58
La2 0.0442 0.2784 0.1887  2 Pm 3.33-3.38, 5 Y 3.34-3.60, 1 Nd 3.58
La3 0.5442 0.1887 0.2784  2 Pm 3.33-3.38, 5 Y 3.34-3.60, 1 Nd 3.58
La4 0.9558 0.7216 0.8113  2 Pm 3.33-3.38, 5 Y 3.34-3.60, 1 Nd 3.58
Pm1 0.2500 0.9877 0.0123  4 La 3.33-3.38, 4 Y 3.62
Pm2 0.7500 0.0123 0.9877  4 La 3.33-3.38, 4 Y 3.62
Nd1 0.2500 0.4022 0.5978  8 Y 3.48-3.71, 2 La 3.58
Nd2 0.7500 0.5978 0.4022  8 Y 3.48-3.71, 2 La 3.58
Y1 0.0564 0.1163 0.7336  8 Y 3.48-3.88, 2 La 3.60-3.89, 1 Pm 3.62, 1 Nd 3.71
Y2 0.4436 0.2664 0.8837  8 Y 3.48-3.88, 2 La 3.60-3.89, 1 Pm 3.62, 1 Nd 3.71
Y3 0.9436 0.8837 0.2664  8 Y 3.48-3.88, 2 La 3.60-3.89, 1 Pm 3.62, 1 Nd 3.71
Y4 0.5564 0.7336 0.1163  8 Y 3.48-3.88, 2 La 3.60-3.89, 1 Pm 3.62, 1 Nd 3.71
Y5 0.3143 0.9758 0.4195  3 Y 3.31-3.68, 1 La 3.50, 1 Nd 3.50, 1 Pm 3.62
Y6 0.1857 0.5805 0.0242  3 Y 3.31-3.68, 1 La 3.50, 1 Nd 3.50, 1 Pm 3.62
Y7 0.6857 0.0242 0.5805  3 Y 3.31-3.68, 1 La 3.50, 1 Nd 3.50, 1 Pm 3.62
Y8 0.8143 0.4195 0.9758  3 Y 3.31-3.68, 1 La 3.50, 1 Nd 3.50, 1 Pm 3.62
Y9 0.1178 0.6968 0.4894  4 Y 3.31-3.53, 3 La 3.34-3.57, 2 Nd 3.48-3.64
Y10 0.3822 0.5106 0.3032  4 Y 3.31-3.53, 3 La 3.34-3.57, 2 Nd 3.48-3.64
Y11 0.8822 0.3032 0.5106  4 Y 3.31-3.53, 3 La 3.34-3.57, 2 Nd 3.48-3.64
Y12 0.6178 0.4894 0.6968  4 Y 3.31-3.53, 3 La 3.34-3.57, 2 Nd 3.48-3.64

- DOS at the Fermi energy (states/eV/f.u.) = 16.1
- volume (A^3/atom) = 34.0

=====

La2Pm2NdY2 | PBE-GGA | optimized geometry

abc: 5.1816 6.3445 8.1906
angles: 97.40 90.00 114.10
With the nearest neighbours (Å) after each atom.
Positions (direct):
La1 0.1427 0.2853 0.4281  1 Nd 3.66, 3 La 3.66-3.67, 5 Pm 3.66-3.68, 3 Y 3.69
La2 0.8573 0.7147 0.5719  1 Nd 3.66, 3 La 3.66-3.67, 5 Pm 3.66-3.68, 3 Y 3.69
Pm1 0.5708 0.1416 0.7174  4 Y 3.62-3.67, 2 Nd 3.64, 5 La 3.66-3.68, 1 Pm 3.71
Pm2 0.4292 0.8584 0.2826  4 Y 3.62-3.67, 2 Nd 3.64, 5 La 3.66-3.68, 1 Pm 3.71
Nd1 0.0000 0.0000 0.0000  6 Y 3.64-3.67, 4 Pm 3.64, 2 La 3.66
Y1 0.7156 0.4312 0.1393  2 Y 3.61, 4 Pm 3.62-3.67, 3 Nd 3.64-3.67, 3 La 3.69
Y2 0.2844 0.5688 0.8607  2 Y 3.61, 4 Pm 3.62-3.67, 3 Nd 3.64-3.67, 3 La 3.69

- DOS at the Fermi energy (states/eV/f.u.) = 11.8
- volume (A^3/atom) = 34.8

=====

LaPm2Nd5Y | PBE-GGA | optimized geometry

abc: 9.0234 9.0234 10.1152
angles: 116.49 116.49 90.00
With the nearest neighbours (Å) after each atom.
Positions (direct):
La1 0.2500 0.2500 0.5000  10 Nd 3.69-3.92
La2 0.7500 0.7500 0.5000  10 Nd 3.69-3.92
Pm1 0.1155 0.3845 0.0000  1 Pm 2.95, 2 Nd 3.10
Pm2 0.6155 0.1155 0.0000  1 Pm 2.95, 2 Nd 3.10
Pm3 0.3845 0.8845 0.0000  1 Pm 2.95, 2 Nd 3.10
Pm4 0.8845 0.6155 0.0000  1 Pm 2.95, 2 Nd 3.10
Nd1 0.9277 0.4277 0.2726  1 Pm 3.10, 1 Y 3.20
Nd2 0.6552 0.1552 0.7274  1 Pm 3.10, 1 Y 3.20
Nd3 0.0723 0.5723 0.7274  1 Pm 3.10, 1 Y 3.20
Nd4 0.1552 0.0723 0.7274  1 Pm 3.10, 1 Y 3.20
Nd5 0.5723 0.6552 0.7274  1 Pm 3.10, 1 Y 3.20
Nd6 0.8448 0.9277 0.2726  1 Pm 3.10, 1 Y 3.20
Nd7 0.4277 0.3448 0.2726  1 Pm 3.10, 1 Y 3.20
Nd8 0.3448 0.8448 0.2726  1 Pm 3.10, 1 Y 3.20
Nd9 0.5000 0.5000 0.0000  4 Pm 3.62, 8 Nd 3.88, 2 La 3.92
Nd10 0.0000 0.0000 0.0000  4 Pm 3.62, 8 Nd 3.88, 2 La 3.92
Y1 0.2500 0.7500 0.5000  4 Nd 3.20
Y2 0.7500 0.2500 0.5000  4 Nd 3.20

- DOS at the Fermi energy (states/eV/f.u.) = 14.0
- volume (A^3/atom) = 35.5

=====

La5PmNd2Y | PBE-GGA | optimized geometry

abc: 9.0662 9.0662 10.1855
angles: 116.43 116.43 90.00
With the nearest neighbours (Å) after each atom.
Positions (direct):
La1 0.9289 0.4289 0.2808  1 Nd 3.14, 1 Y 3.22
La2 0.6482 0.1482 0.7192  1 Nd 3.14, 1 Y 3.22
La3 0.0711 0.5711 0.7192  1 Nd 3.14, 1 Y 3.22
La4 0.1482 0.0711 0.7192  1 Nd 3.14, 1 Y 3.22
La5 0.5711 0.6482 0.7192  1 Nd 3.14, 1 Y 3.22
La6 0.8518 0.9289 0.2808  1 Nd 3.14, 1 Y 3.22
La7 0.4289 0.3518 0.2808  1 Nd 3.14, 1 Y 3.22
La8 0.3518 0.8518 0.2808  1 Nd 3.14, 1 Y 3.22
La9 0.5000 0.5000 0.0000  4 Nd 3.64, 8 La 3.93, 2 Pm 3.96
La10 0.0000 0.0000 0.0000  4 Nd 3.64, 8 La 3.93, 2 Pm 3.96
Pm1 0.2500 0.2500 0.5000  10 La 3.68-3.96
Pm2 0.7500 0.7500 0.5000  10 La 3.68-3.96
Nd1 0.1160 0.3840 0.0000  1 Nd 2.97, 2 La 3.14
Nd2 0.6160 0.1160 0.0000  1 Nd 2.97, 2 La 3.14
Nd3 0.3840 0.8840 0.0000  1 Nd 2.97, 2 La 3.14
Nd4 0.8840 0.6160 0.0000  1 Nd 2.97, 2 La 3.14
Y1 0.2500 0.7500 0.5000  4 La 3.22
Y2 0.7500 0.2500 0.5000  4 La 3.22

- DOS at the Fermi energy (states/eV/f.u.) = 17.1
- volume (A^3/atom) = 36.1

=====

LaPmNdY3 | PBE-GGA | optimized geometry

abc: 5.9800 6.4545 11.9650
angles: 90.00 90.00 117.60
With the nearest neighbours (Å) after each atom.
Positions (direct):
La1 0.5077 0.0155 0.7500  7 Y 3.51-3.87, 3 Pm 3.64-3.65
La2 0.4923 0.9845 0.2500  7 Y 3.51-3.87, 3 Pm 3.64-3.65
Pm1 0.8265 0.6530 0.7500  4 Y 3.49-3.51, 2 Nd 3.59, 3 La 3.64-3.65
Pm2 0.1735 0.3470 0.2500  4 Y 3.49-3.51, 2 Nd 3.59, 3 La 3.64-3.65
Nd1 0.0000 0.0000 0.5000  8 Y 3.56-3.75, 2 Pm 3.59
Nd2 0.0000 0.0000 0.0000  8 Y 3.56-3.75, 2 Pm 3.59
Y1 0.6725 0.3450 0.4961  3 Y 3.46-3.48, 1 Pm 3.51, 2 La 3.57-3.60, 3 Nd 3.58-3.75
Y2 0.3275 0.6550 0.5039  3 Y 3.46-3.48, 1 Pm 3.51, 2 La 3.57-3.60, 3 Nd 3.58-3.75
Y3 0.3275 0.6550 0.9961  3 Y 3.46-3.48, 1 Pm 3.51, 2 La 3.57-3.60, 3 Nd 3.58-3.75
Y4 0.6725 0.3450 0.0039  3 Y 3.46-3.48, 1 Pm 3.51, 2 La 3.57-3.60, 3 Nd 3.58-3.75
Y5 0.1691 0.3383 0.7500  2 Y 3.46, 2 Pm 3.49, 2 La 3.51, 2 Nd 3.56
Y6 0.8309 0.6617 0.2500  2 Y 3.46, 2 Pm 3.49, 2 La 3.51, 2 Nd 3.56

- DOS at the Fermi energy (states/eV/f.u.) = 12.7
- volume (A^3/atom) = 34.1

=====

LaPmNdY | PBE-GGA | optimized geometry

abc: 3.4130 6.8251 6.8376
angles: 119.48 90.00 90.00
With the nearest neighbours (Å) after each atom.
Positions (direct):
La1 0.0000 0.8222 0.5133  2 Y 3.39-3.43, 2 La 3.41, 2 Pm 3.44, 2 Nd 3.80
Pm1 0.0000 0.3178 0.0182  2 Y 3.41-3.43, 2 Pm 3.41, 2 La 3.44, 2 Nd 3.80
Nd1 0.5000 0.8184 0.0150  2 Nd 3.41, 2 La 3.80, 2 Pm 3.80, 2 Y 3.82
Y1 0.0000 0.3220 0.5188  2 La 3.39-3.43, 2 Pm 3.41-3.43, 2 Y 3.41

- DOS at the Fermi energy (states/eV/f.u.) = 7.7
- volume (A^3/atom) = 34.7

=====

La2Pm2NdY | PBE-GGA | optimized geometry

abc: 5.8082 7.1836 10.0332
angles: 90.00 90.00 90.00
With the nearest neighbours (Å) after each atom.
Positions (direct):
La1 0.5000 0.0076 0.9999  6 La 3.59-3.83, 6 Pm 3.79-3.80, 2 Nd 3.85
La2 0.0000 0.2576 0.1734  5 Pm 3.32-3.59
La3 0.5000 0.5076 0.0001  6 La 3.59-3.83, 6 Pm 3.79-3.80, 2 Nd 3.85
La4 0.0000 0.7576 0.8266  5 Pm 3.32-3.59
Pm1 0.0000 0.2576 0.8345  2 Nd 3.39, 3 La 3.40-3.59
Pm2 0.5000 0.2575 0.3331  3 Nd 3.29-3.59, 2 La 3.32
Pm3 0.0000 0.7576 0.1655  2 Nd 3.39, 3 La 3.40-3.59
Pm4 0.5000 0.7575 0.6669  3 Nd 3.29-3.59, 2 La 3.32
Nd1 0.5000 0.2576 0.6608  5 Pm 3.29-3.59
Nd2 0.5000 0.7576 0.3392  5 Pm 3.29-3.59
Y1 0.0000 0.0076 0.5001  2 Y 3.59, 2 La 3.74, 4 Nd 3.78, 6 Pm 3.80-3.81
Y2 0.0000 0.5076 0.4999  2 Y 3.59, 2 La 3.74, 4 Nd 3.78, 6 Pm 3.80-3.81

- DOS at the Fermi energy (states/eV/f.u.) = 9.7
- volume (A^3/atom) = 34.9

=====

LaPm5Nd2Y | PBE-GGA | optimized geometry

abc: 8.9330 8.9330 10.1401
angles: 116.13 116.13 90.00
With the nearest neighbours (Å) after each atom.
Positions (direct):
La1 0.2500 0.2500 0.5000  10 Pm 3.67-3.97
La2 0.7500 0.7500 0.5000  10 Pm 3.67-3.97
Pm1 0.9275 0.4275 0.2744  1 Nd 3.09, 1 Y 3.20
Pm2 0.6531 0.1531 0.7256  1 Nd 3.09, 1 Y 3.20
Pm3 0.0725 0.5725 0.7256  1 Nd 3.09, 1 Y 3.20
Pm4 0.1531 0.0725 0.7256  1 Nd 3.09, 1 Y 3.20
Pm5 0.5725 0.6531 0.7256  1 Nd 3.09, 1 Y 3.20
Pm6 0.8469 0.9275 0.2744  1 Nd 3.09, 1 Y 3.20
Pm7 0.4275 0.3469 0.2744  1 Nd 3.09, 1 Y 3.20
Pm8 0.3469 0.8469 0.2744  1 Nd 3.09, 1 Y 3.20
Pm9 0.5000 0.5000 0.0000  4 Nd 3.58, 8 Pm 3.87, 2 La 3.97
Pm10 0.0000 0.0000 0.0000  4 Nd 3.58, 8 Pm 3.87, 2 La 3.97
Nd1 0.1171 0.3829 0.0000  1 Nd 2.96, 2 Pm 3.09
Nd2 0.6171 0.1171 0.0000  1 Nd 2.96, 2 Pm 3.09
Nd3 0.3829 0.8829 0.0000  1 Nd 2.96, 2 Pm 3.09
Nd4 0.8829 0.6171 0.0000  1 Nd 2.96, 2 Pm 3.09
Y1 0.2500 0.7500 0.5000  4 Pm 3.20
Y2 0.7500 0.2500 0.5000  4 Pm 3.20

- DOS at the Fermi energy (states/eV/f.u.) = 13.3
- volume (A^3/atom) = 35.2

=====

La5PmNdY2 | PBE-GGA | optimized geometry

abc: 8.9846 8.9846 10.2175
angles: 116.08 116.08 90.00
With the nearest neighbours (Å) after each atom.
Positions (direct):
La1 0.9431 0.4431 0.2824  1 Nd 3.06, 1 Y 3.24
La2 0.6607 0.1607 0.7176  1 Nd 3.06, 1 Y 3.24
La3 0.0569 0.5569 0.7176  1 Nd 3.06, 1 Y 3.24
La4 0.1607 0.0569 0.7176  1 Nd 3.06, 1 Y 3.24
La5 0.5569 0.6607 0.7176  1 Nd 3.06, 1 Y 3.24
La6 0.8393 0.9431 0.2824  1 Nd 3.06, 1 Y 3.24
La7 0.4431 0.3393 0.2824  1 Nd 3.06, 1 Y 3.24
La8 0.3393 0.8393 0.2824  1 Nd 3.06, 1 Y 3.24
La9 0.5000 0.5000 0.0000  4 Y 3.59, 8 La 3.95, 2 Pm 4.00
La10 0.0000 0.0000 0.0000  4 Y 3.59, 8 La 3.95, 2 Pm 4.00
Pm1 0.2500 0.2500 0.5000  10 La 3.68-4.00
Pm2 0.7500 0.7500 0.5000  10 La 3.68-4.00
Nd1 0.2500 0.7500 0.5000  4 La 3.06
Nd2 0.7500 0.2500 0.5000  4 La 3.06
Y1 0.1187 0.3813 0.0000  1 Y 3.02, 2 La 3.24
Y2 0.6187 0.1187 0.0000  1 Y 3.02, 2 La 3.24
Y3 0.3813 0.8813 0.0000  1 Y 3.02, 2 La 3.24
Y4 0.8813 0.6187 0.0000  1 Y 3.02, 2 La 3.24

- DOS at the Fermi energy (states/eV/f.u.) = 18.0
- volume (A^3/atom) = 35.9

=====

Number 1: DFT total energy -4.851 eV/atom. Number 2: DFT total energy -5.701 eV/atom. Number 3: DFT total energy -5.272 eV/atom. Number 4: DFT total energy -4.706 eV/atom. Number 5: DFT total energy -4.781 eV/atom. Number 6: DFT total energy -5.534 eV/atom. Number 7: DFT total energy -5.036 eV/atom. Number 8: DFT total energy -5.052 eV/atom. Number 9: DFT total energy -4.705 eV/atom. Number 10: DFT total energy -4.958 eV/atom.